# 1
Below is a geometry-optimized Li2TeC structure, with properties calculated at the GGA-PBE level.

Computed properties:
V, Å³/atom: 15.24
D(E_F), states/eV per cell: 1.80
Excess energy over the best structure of this formula in the dataset, meV/atom: 96.2
Formation energy from raw total energies, meV/atom: 703.6
Total energy, eV per atom: -3.34

```
Li2TeC
1.0
0.0000 3.1236 3.1236
3.1236 0.0000 3.1236
3.1236 3.1236 0.0000
C Li Te
1 2 1
Cartesian
0.0000 0.0000 0.0000
1.5618 1.5618 1.5618
4.6854 4.6854 4.6854
3.1236 3.1236 3.1236
```

# 2
Below is a geometry-optimized LiTe2C2 structure, with properties calculated at the GGA-PBE level.

Computed properties:
V, Å³/atom: 18.46
D(E_F), states/eV per cell: 3.97
Excess energy over the best structure of this formula in the dataset, meV/atom: 264.1
Formation energy from raw total energies, meV/atom: 1252.7
Total energy, eV per atom: -4.08

```
LiTe2C2
1.0
7.4579 0.0000 0.0000
0.0000 7.4579 0.0000
0.0000 0.0000 3.3198
C Te Li
4 4 2
Cartesian
2.1895 5.9185 0.0000
5.2684 1.5395 0.0000
1.5395 2.1895 0.0000
5.9185 5.2684 0.0000
4.9873 6.1996 1.6599
2.4706 1.2584 1.6599
1.2584 4.9873 1.6599
6.1996 2.4706 1.6599
0.0000 0.0000 0.0000
3.7290 3.7290 0.0000
```

# 3
Below is a geometry-optimized LiTeC3 structure, with properties calculated at the GGA-PBE level.

Computed properties:
V, Å³/atom: 15.16
D(E_F), states/eV per cell: 5.02
Excess energy over the best structure of this formula in the dataset, meV/atom: 0.0
Formation energy from raw total energies, meV/atom: 2692.9
Total energy, eV per atom: -3.85

```
LiTeC3
1.0
-1.8002 2.7689 2.6470
-0.0163 -2.9303 3.0541
3.8306 1.2888 1.2570
Li C Te
1 3 1
Cartesian
1.0070 0.5637 3.4791
1.9153 0.6444 0.6285
-0.0082 -1.4651 1.5270
-0.9001 1.3844 1.3235
0.0000 0.0000 0.0000
```

# 4
Below is a geometry-optimized LiTeC3 structure, with properties calculated at the GGA-PBE level.

Computed properties:
V, Å³/atom: 11.60
D(E_F), states/eV per cell: 3.72
Excess energy over the best structure of this formula in the dataset, meV/atom: 150.9
Formation energy from raw total energies, meV/atom: 2843.9
Total energy, eV per atom: -3.70

```
LiTeC3
1.0
-1.5108 3.2242 1.5187
-3.5627 -1.4103 -0.5501
0.0951 -1.6125 3.5178
Li C Te
1 3 1
Cartesian
0.0000 0.0000 0.0000
-1.7813 -0.7051 -0.2751
0.0476 -0.8062 1.7589
-0.7554 1.6121 0.7594
-2.4892 0.1007 2.2432
```

# 5
Below is a geometry-optimized LiTe3C structure, with properties calculated at the GGA-PBE level.

Computed properties:
V, Å³/atom: 25.20
D(E_F), states/eV per cell: 5.06
Excess energy over the best structure of this formula in the dataset, meV/atom: 838.4
Formation energy from raw total energies, meV/atom: 1538.5
Total energy, eV per atom: -2.57

```
LiTe3C
1.0
-2.2171 3.7062 2.5453
-4.0750 -0.4573 -2.8837
-1.8997 -3.3444 3.2149
C Te Li
1 3 1
Cartesian
-4.0959 -0.0478 1.4383
-0.9499 -1.6722 1.6075
-1.1086 1.8531 1.2727
-2.0375 -0.2287 -1.4418
0.0000 0.0000 0.0000
```

# 6
Below is a geometry-optimized LiTe2C2 structure, with properties calculated at the GGA-PBE level.

Computed properties:
V, Å³/atom: 19.90
D(E_F), states/eV per cell: 1.51
Excess energy over the best structure of this formula in the dataset, meV/atom: 275.5
Formation energy from raw total energies, meV/atom: 1264.0
Total energy, eV per atom: -4.06

```
LiTe2C2
1.0
4.2322 0.0000 0.0000
0.0000 4.2322 0.0000
2.1161 2.1161 5.5553
C Te Li
2 2 1
Cartesian
4.2322 2.1161 2.7776
2.1161 4.2322 2.7776
4.2322 4.2322 3.6378
2.1161 2.1161 1.9174
0.0000 0.0000 0.0000
```

# 7
Below is a geometry-optimized LiYTe2C structure, with properties calculated at the GGA-PBE level.

Computed properties:
V, Å³/atom: 23.39
D(E_F), states/eV per cell: 2.76
Formation energy from raw total energies, meV/atom: 1045.5
Total energy, eV per atom: -3.73

```
LiYTe2C
1.0
4.7347 0.0000 0.0000
0.0000 5.2169 0.0000
0.0000 0.0000 4.7347
Te C Y Li
2 1 1 1
Cartesian
0.0000 0.0000 2.3673
2.3673 0.0000 0.0000
2.3673 2.6085 2.3673
0.0000 2.6085 0.0000
0.0000 0.0000 0.0000
```

# 8
Below is a geometry-optimized LiY2TeC structure, with properties calculated at the GGA-PBE level.

Computed properties:
V, Å³/atom: 20.71
D(E_F), states/eV per cell: 0.88
Formation energy from raw total energies, meV/atom: -594.0
Total energy, eV per atom: -6.04

```
LiY2TeC
1.0
-0.1599 -3.9827 2.8691
-1.5971 -2.6723 -3.7984
4.0580 -0.9238 -1.0563
C Y Te Li
1 2 1 1
Cartesian
0.0000 0.0000 0.0000
-0.7985 -1.3361 -1.8992
-0.0799 -1.9914 1.4346
1.1505 -3.7894 -0.9928
2.0290 -0.4619 -0.5281
```

# 9
Below is a geometry-optimized LiThC structure, with properties calculated at the GGA-PBE level.

Computed properties:
V, Å³/atom: 21.59
Calculated formation energy, eV per atom: -0.078
D(E_F), states/eV per cell: 1.51
Total energy, eV per atom: -6.26

```
LiThC
1.0
-2.4223 1.3383 2.5070
-2.6612 0.0875 -2.6180
0.0610 -9.3833 2.2874
Li C Th
2 2 2
Cartesian
-2.1371 -7.4697 1.9228
-2.8853 -0.4878 0.2536
-3.4778 -2.5587 0.7866
-1.5447 -5.3988 1.3897
-0.8992 -3.1430 0.8090
-4.1232 -4.8145 1.3673
```

# 10
Below is a geometry-optimized LiTh2C structure, with properties calculated at the GGA-PBE level.

Computed properties:
V, Å³/atom: 25.27
Calculated formation energy, eV per atom: -0.075
D(E_F), states/eV per cell: 3.67
Excess energy over the best structure of this formula in the dataset, meV/atom: 0.0
Total energy, eV per atom: -6.57

```
LiTh2C
1.0
3.6210 0.0000 0.0000
1.8105 3.1359 0.0000
1.8105 1.0453 8.9010
Th C Li
2 1 1
Cartesian
1.8105 1.0453 1.4785
1.8105 1.0453 7.4548
5.4315 3.1359 8.8946
3.6210 2.0906 4.4246
```

# 11
Below is a geometry-optimized LiTh2C structure, with properties calculated at the GGA-PBE level.

Computed properties:
V, Å³/atom: 22.31
Calculated formation energy, eV per atom: 0.331
D(E_F), states/eV per cell: 4.77
Excess energy over the best structure of this formula in the dataset, meV/atom: 406.6
Total energy, eV per atom: -6.16

```
LiTh2C
1.0
-0.1040 2.8659 1.4347
1.1247 -1.3115 2.7015
8.1237 1.5993 -2.6056
Th Li C
2 1 1
Cartesian
7.5137 1.4792 -2.4099
4.6719 0.9197 -1.4985
2.5412 1.1770 1.4167
6.6031 1.9767 0.1139
```

# 12
Below is a geometry-optimized LiTh2C structure, with properties calculated at the GGA-PBE level.

Computed properties:
V, Å³/atom: 27.10
Calculated formation energy, eV per atom: 0.000
D(E_F), states/eV per cell: 3.69
Excess energy over the best structure of this formula in the dataset, meV/atom: 75.6
Total energy, eV per atom: -6.49

```
LiTh2C
1.0
-1.1876 2.1887 -2.5446
-0.0986 -1.0948 -3.3864
-9.6001 -3.0269 -0.6137
Th C Li
2 1 1
Cartesian
-6.3907 -1.8401 -1.0907
-4.4955 -0.0929 -5.4540
-5.4431 -0.9665 -3.2724
0.0000 0.0000 0.0000
```